(1)
Density functional theory data (PBE-GGA) for an optimized crystal structure of LiGe2SeO6.

```
20
Lattice="5.5415 -0.0920 -0.0955 1.6676 6.6611 0.1794 1.6676 -0.0676 6.6631" Properties=species:S:1:pos:R:3 pbc="T T T"
Li 3.0530 5.9957 0.7745
Li 5.8237 0.5058 5.9725
Ge 3.9401 5.3047 4.2416
Ge 2.1659 2.5054 1.3366
Ge 4.9367 1.1968 2.5055
Ge 6.7108 3.9960 5.4105
Se 3.0530 1.6763 4.9367
Se 5.8237 4.8252 1.8103
O 3.8772 6.5423 5.5276
O 2.2288 1.2661 0.0521
O 4.9995 -0.0409 1.2194
O 6.6479 5.2353 6.6949
O 4.2264 5.8382 2.5748
O 1.8795 4.1908 0.8652
O 4.6503 0.6633 4.1723
O 6.9972 2.3106 5.8818
O 2.3567 4.4959 4.2392
O 3.7493 2.4778 2.1448
O 6.5200 2.0055 2.5079
O 5.1274 4.0236 4.6022
```

Summary:
* space-group type: No. 15
* uncorrected formation energy: -1.298 eV/atom
* DOS at the Fermi energy: 0.073 states/eV/cell

---

(2)
Density functional theory data (PBE-GGA) for an optimized crystal structure of Sb2TeRu.

```
4
Lattice="5.1371 -0.0092 0.0000 -1.3629 4.9530 0.0000 0.0000 0.0000 3.5794" Properties=species:S:1:pos:R:3 pbc="T T T"
Ru -0.6815 2.4765 1.7897
Sb 0.0000 0.0000 0.0000
Sb 1.8871 2.4719 0.0000
Te 2.5685 -0.0046 1.7897
```

Summary:
* space-group type: No. 65
* uncorrected formation energy: 0.535 eV/atom
* DOS at the Fermi energy: 3.489 states/eV/cell

---

(3)
Density functional theory data (PBE-GGA) for an optimized crystal structure of LiCd3Si.

```
5
Lattice="-0.1515 -4.6697 -1.1037 4.0772 0.4569 -2.4929 2.5299 -1.0161 3.9515" Properties=species:S:1:pos:R:3 pbc="T T T"
Si 3.2278 -2.6144 0.1774
Li 0.0000 0.0000 0.0000
Cd 2.0386 0.2285 -1.2465
Cd 1.2650 -0.5080 1.9757
Cd -0.0758 -2.3348 -0.5519
```

Summary:
* relative energy among the computed polymorphs: 193 meV/atom
* space-group type: No. 221
* uncorrected formation energy: 0.541 eV/atom
* DOS at the Fermi energy: 1.925 states/eV/cell

---

(4)
Density functional theory data (PBE-GGA) for an optimized crystal structure of Tl14Bi2Se9.

```
25
Lattice="10.0256 0.0000 0.0000 -5.0128 8.6824 0.0000 0.0000 0.0000 9.3285" Properties=species:S:1:pos:R:3 pbc="T T T"
Tl -3.3321 5.8146 9.2266
Tl -1.1843 7.5686 6.0488
Tl -0.9496 3.8725 6.0488
Tl 0.0000 0.0000 2.9564
Tl 0.0000 0.0000 6.3721
Tl 1.6432 2.8894 9.2266
Tl 1.6889 8.6607 9.2266
Tl 2.8788 2.7586 3.2797
Tl 2.1340 5.9237 6.0488
Tl 3.3239 0.0216 0.1020
Tl 3.3696 5.7930 0.1020
Tl 5.9624 4.8099 3.2797
Tl 6.1971 1.1138 3.2797
Tl 8.3449 2.8677 0.1020
Bi 0.0000 5.7882 2.7356
Bi 5.0128 2.8941 6.5929
Se -1.7187 8.0888 3.0591
Se -1.1330 3.1495 3.0591
Se 0.0000 5.7883 9.1757
Se 0.0000 0.0000 0.0000
Se 2.1611 2.5560 6.2694
Se 2.8517 6.1264 3.0591
Se 5.0128 2.8941 0.1528
Se 6.1458 5.5329 6.2694
Se 6.7315 0.5936 6.2694
```

Summary:
* space-group type: No. 147
* uncorrected formation energy: -0.281 eV/atom
* DOS at the Fermi energy: 9.103 states/eV/cell

---

(5)
Density functional theory data (PBE-GGA) for an optimized crystal structure of In3Fe.

```
16
Lattice="-2.8772 -2.0803 4.0040 1.0594 -6.6273 -2.6820 7.0415 -0.7618 4.6640" Properties=species:S:1:pos:R:3 pbc="T T T"
Fe 4.4850 -7.5465 3.5606
Fe 2.1579 -4.5935 -0.1534
Fe 3.0658 -4.8760 6.1395
Fe 0.7387 -1.9230 2.4254
In 4.9897 -0.8820 3.8872
In 0.5314 -4.6757 2.2888
In 4.6923 -4.7938 3.6973
In 0.2340 -8.5874 2.0988
In 5.0847 -3.1665 6.4565
In 0.3465 -2.4563 -0.1553
In 2.0588 -6.7083 4.2746
In 2.9574 -6.6079 1.3963
In 0.1391 -6.3029 -0.4705
In 4.8772 -7.0132 6.1414
In 3.1649 -2.7612 1.7114
In 2.2663 -2.8616 4.5897
```

Summary:
* space-group type: No. 62
* DOS at the Fermi energy: 12.991 states/eV/cell
* E_form: 0.168 eV per atom

---

(6)
Density functional theory data (PBE-GGA) for an optimized crystal structure of Tb2Er3Tm.

```
12
Lattice="-1.8184 2.8265 0.8329 -5.1675 -3.1417 6.5771 6.6270 3.3338 10.3519" Properties=species:S:1:pos:R:3 pbc="T T T"
Tb 1.8841 3.7540 12.9660
Tb -2.2430 -0.7354 4.7959
Tb 1.5196 3.1405 7.0549
Tb -1.8785 -0.1219 10.7070
Er 4.4418 2.3064 9.0678
Er -4.8007 0.7122 8.6941
Er 1.0953 2.3418 16.0361
Er -1.4542 0.6768 1.7258
Er -0.8599 1.8896 13.3022
Er 0.5010 1.1290 4.4597
Tm 0.9754 1.8660 10.1918
Tm -1.3343 1.1526 7.5701
```

Summary:
* relative energy among the computed polymorphs: 100 meV/atom
* space-group type: No. 12
* DOS at the Fermi energy: 19.027 states/eV/cell
* E_form: 0.122 eV per atom

---

(7)
Density functional theory data (PBE-GGA) for an optimized crystal structure of Ag3As2C3Se5N.

```
28
Lattice="-4.5295 5.0348 0.1061 1.6307 -2.2570 -10.0768 -8.4218 -9.9003 -0.2552" Properties=species:S:1:pos:R:3 pbc="T T T"
Ag -9.5130 -3.7280 -2.4826
Ag -1.8076 -3.3945 -7.7433
Ag -0.3643 -1.6088 -3.9743
Ag -10.9564 -5.5137 -6.2516
Ag -7.0881 -7.3943 -0.9462
Ag -4.2325 0.2718 -9.2797
As -8.8725 -7.6254 -4.2388
As -2.4482 0.5030 -5.9871
As -8.9772 -7.2680 -8.2825
As -2.3434 0.1455 -1.9434
C -3.0916 -5.0900 -7.6624
C -8.2290 -2.0325 -2.5635
C -4.8081 -6.8468 -8.0172
C -6.5125 -0.2756 -2.2087
C -5.6416 -7.7249 -8.2144
C -5.6790 0.6025 -2.0114
Se -7.9897 -5.9261 -2.8063
Se -3.3309 -1.1964 -7.4196
Se -8.0306 -5.5918 -9.6403
Se -3.2900 -1.5306 -0.5856
Se -7.1489 -9.3468 -4.0373
Se -4.1718 2.2243 -6.1885
Se -2.9902 -0.9617 -4.0111
Se -8.3304 -6.1607 -6.2147
Se -4.3842 1.8315 -1.7075
Se -6.9364 -8.9540 -8.5184
N -3.9099 -5.9363 -7.8298
N -7.4107 -1.1861 -2.3960
```

Summary:
* space-group type: No. 2
* uncorrected formation energy: 0.300 eV/atom

---

no.,ρ (kg/m³)
1,4380
2,8614
3,5587
4,8159
5,8106
6,8722
7,3486